Density functional theory data (PBE-GGA) for DyScCl after structural relaxation.

POSCAR file:
```
DyScCl
1.0
-1.3730 -2.9788 1.3195
3.4770 0.2309 -0.5973
0.9140 2.3355 6.2235
Sc Cl Dy
1 1 1
Direct
0.6667 0.3333 0.3603
0.3333 0.6667 0.6547
0.0000 0.0000 0.9850
```

Results
- D(E_F) (states/eV per cell) = 4.04
- SG = No. 156
- formation energy (no corrections) (eV/atom) = -0.864
- V (Å³/cell) = 72.6